Material: Nd2Ga3CuIr4
Method: DFT, PBE-GGA
State: relaxed

DFT formation energy	-57.37	kJ/mol of atoms
magnetic moment	0.0	μB per formula unit
total energy	-64.102	eV/cell
V	18.6	Å³ per atom

```
data_Nd2Ga3CuIr4
_chemical_formula_sum 'Nd2 Ga3 Cu1 Ir4'
_cell_length_a 4.2197
_cell_length_b 4.2197
_cell_length_c 10.4523
_cell_angle_alpha 90.00
_cell_angle_beta 90.00
_cell_angle_gamma 90.00
_symmetry_space_group_name_H-M 'P -4 m 2'
_symmetry_Int_Tables_number 115
_symmetry_space_group_name_Hall 'P -4 -2'
loop_
_atom_site_label
_atom_site_type_symbol
_atom_site_fract_x
_atom_site_fract_y
_atom_site_fract_z
Nd1 Nd 0.0000 0.5000 0.2480
Ga1 Ga 0.0000 0.5000 0.8719
Ga2 Ga 0.5000 0.5000 0.5000
Cu1 Cu 0.0000 0.0000 0.5000
Ir1 Ir 0.0000 0.0000 0.0000
Ir2 Ir 0.0000 0.5000 0.6358
Ir3 Ir 0.5000 0.5000 0.0000
```

Material: NdGaCu2Ir
Method: DFT, PBE-GGA
State: relaxed

DFT formation energy	-33.85	kJ/mol of atoms
magnetic moment	0.0	μB per formula unit
total energy	-53.204	eV/cell
V	18.0	Å³ per atom

```
data_NdGaCu2Ir
_chemical_formula_sum 'Nd2 Ga2 Cu4 Ir2'
_cell_length_a 3.9512
_cell_length_b 4.1064
_cell_length_c 11.1221
_cell_angle_alpha 90.00
_cell_angle_beta 90.00
_cell_angle_gamma 90.00
_symmetry_space_group_name_H-M 'I m m 2'
_symmetry_Int_Tables_number 44
_symmetry_space_group_name_Hall 'I 2 -2'
loop_
_atom_site_label
_atom_site_type_symbol
_atom_site_fract_x
_atom_site_fract_y
_atom_site_fract_z
Nd1 Nd 0.0000 0.0000 0.0000
Ga1 Ga 0.0000 0.5000 0.7529
Cu1 Cu 0.0000 0.0000 0.6199
Cu2 Cu 0.0000 0.5000 0.2546
Ir1 Ir 0.0000 0.0000 0.3947
```

Material: NdGa4CuIr2
Method: DFT, PBE-GGA
State: relaxed

DFT formation energy	-43.52	kJ/mol of atoms
magnetic moment	0.0	μB per formula unit
total energy	-126.906	eV/cell
V	17.3	Å³ per atom

```
data_NdGa4CuIr2
_chemical_formula_sum 'Nd3 Ga12 Cu3 Ir6'
_cell_length_a 4.2915
_cell_length_b 4.2915
_cell_length_c 26.0505
_cell_angle_alpha 90.00
_cell_angle_beta 90.00
_cell_angle_gamma 120.00
_symmetry_space_group_name_H-M 'R -3 m'
_symmetry_Int_Tables_number 166
_symmetry_space_group_name_Hall '-R 3 2"'
loop_
_atom_site_label
_atom_site_type_symbol
_atom_site_fract_x
_atom_site_fract_y
_atom_site_fract_z
Nd1 Nd 0.0000 0.0000 0.0000
Ga1 Ga 0.0000 0.0000 0.1302
Ga2 Ga 0.0000 0.0000 0.4009
Cu1 Cu 0.0000 0.0000 0.5000
Ir1 Ir 0.0000 0.0000 0.2302
```

Material: GaCuIrO6
Method: DFT, PBE-GGA
State: relaxed

formation energy from raw total energies	-0.7773	eV/atom
magnetic moment	0.3	μB per formula unit
total energy	-105.457	eV/cell
V	10.7	Å³ per atom

```
data_GaCuIrO6
_chemical_formula_sum 'Ga2 Cu2 Ir2 O12'
_cell_length_a 5.0687
_cell_length_b 5.0687
_cell_length_c 8.6240
_cell_angle_alpha 90.00
_cell_angle_beta 90.00
_cell_angle_gamma 120.00
_symmetry_space_group_name_H-M 'P -3 1 c'
_symmetry_Int_Tables_number 163
_symmetry_space_group_name_Hall '-P 3 2c'
loop_
_atom_site_label
_atom_site_type_symbol
_atom_site_fract_x
_atom_site_fract_y
_atom_site_fract_z
Ga1 Ga 0.3333 0.6667 0.2500
Cu1 Cu 0.0000 0.0000 0.0000
Ir1 Ir 0.3333 0.6667 0.7500
O1 O 0.0083 0.3556 0.6273
```

Material: Ga2CuIrO8
Method: DFT, PBE-GGA
State: relaxed

formation energy from raw total energies	-0.6403	eV/atom
magnetic moment	0.8	μB per formula unit
total energy	-132.720	eV/cell
V	11.0	Å³ per atom

```
data_Ga2CuIrO8
_chemical_formula_sum 'Ga4 Cu2 Ir2 O16'
_cell_length_a 6.2553
_cell_length_b 6.2553
_cell_length_c 6.7395
_cell_angle_alpha 90.00
_cell_angle_beta 90.00
_cell_angle_gamma 90.00
_symmetry_space_group_name_H-M 'I -4 m 2'
_symmetry_Int_Tables_number 119
_symmetry_space_group_name_Hall 'I -4 -2'
loop_
_atom_site_label
_atom_site_type_symbol
_atom_site_fract_x
_atom_site_fract_y
_atom_site_fract_z
Ga1 Ga 0.0000 0.0000 0.0000
Ga2 Ga 0.0000 0.5000 0.2500
Cu1 Cu 0.0000 0.0000 0.5000
Ir1 Ir 0.0000 0.5000 0.7500
O1 O 0.0000 0.2001 0.7992
O2 O 0.0000 0.3096 0.4630
```

Material: GaCuIrPd
Method: DFT, PBE-GGA
State: relaxed

DFT formation energy	-30.46	kJ/mol of atoms
magnetic moment	0.0	μB per formula unit
total energy	-89.758	eV/cell
V	13.9	Å³ per atom

```
data_GaCuIrPd
_chemical_formula_sum 'Ga4 Cu4 Ir4 Pd4'
_cell_length_a 6.0630
_cell_length_b 6.0630
_cell_length_c 6.0630
_cell_angle_alpha 90.00
_cell_angle_beta 90.00
_cell_angle_gamma 90.00
_symmetry_space_group_name_H-M 'F -4 3 m'
_symmetry_Int_Tables_number 216
_symmetry_space_group_name_Hall 'F -4 2 3'
loop_
_atom_site_label
_atom_site_type_symbol
_atom_site_fract_x
_atom_site_fract_y
_atom_site_fract_z
Ga1 Ga 0.0000 0.0000 0.0000
Cu1 Cu 0.0000 0.0000 0.5000
Ir1 Ir 0.2500 0.2500 0.2500
Pd1 Pd 0.2500 0.2500 0.7500
```

Material: PmGa4CuIr2
Method: DFT, PBE-GGA
State: relaxed

DFT formation energy	-43.53	kJ/mol of atoms
magnetic moment	0.0	μB per formula unit
total energy	-126.858	eV/cell
V	17.2	Å³ per atom

```
data_PmGa4CuIr2
_chemical_formula_sum 'Pm3 Ga12 Cu3 Ir6'
_cell_length_a 4.2872
_cell_length_b 4.2872
_cell_length_c 25.8764
_cell_angle_alpha 90.00
_cell_angle_beta 90.00
_cell_angle_gamma 120.00
_symmetry_space_group_name_H-M 'R -3 m'
_symmetry_Int_Tables_number 166
_symmetry_space_group_name_Hall '-R 3 2"'
loop_
_atom_site_label
_atom_site_type_symbol
_atom_site_fract_x
_atom_site_fract_y
_atom_site_fract_z
Pm1 Pm 0.0000 0.0000 0.0000
Ga1 Ga 0.0000 0.0000 0.1303
Ga2 Ga 0.0000 0.0000 0.4002
Cu1 Cu 0.0000 0.0000 0.5000
Ir1 Ir 0.0000 0.0000 0.2310
```

Material: PmGaCuIr
Method: DFT, PBE-GGA
State: relaxed

DFT formation energy	-27.87	kJ/mol of atoms
magnetic moment	0.0	μB per formula unit
total energy	-87.560	eV/cell
V	18.2	Å³ per atom

```
data_PmGaCuIr
_chemical_formula_sum 'Pm4 Ga4 Cu4 Ir4'
_cell_length_a 6.6245
_cell_length_b 6.6245
_cell_length_c 6.6245
_cell_angle_alpha 90.00
_cell_angle_beta 90.00
_cell_angle_gamma 90.00
_symmetry_space_group_name_H-M 'F -4 3 m'
_symmetry_Int_Tables_number 216
_symmetry_space_group_name_Hall 'F -4 2 3'
loop_
_atom_site_label
_atom_site_type_symbol
_atom_site_fract_x
_atom_site_fract_y
_atom_site_fract_z
Pm1 Pm 0.0000 0.0000 0.0000
Ga1 Ga 0.0000 0.0000 0.5000
Cu1 Cu 0.2500 0.2500 0.7500
Ir1 Ir 0.2500 0.2500 0.2500
```

Material: Pr2Ga3Cu4Ir
Method: DFT, PBE-GGA
State: relaxed

DFT formation energy	-34.44	kJ/mol of atoms
magnetic moment	0.0	μB per formula unit
total energy	-47.455	eV/cell
V	18.0	Å³ per atom

```
data_Pr2Ga3Cu4Ir
_chemical_formula_sum 'Pr2 Ga3 Cu4 Ir1'
_cell_length_a 4.1372
_cell_length_b 4.1372
_cell_length_c 10.5374
_cell_angle_alpha 90.00
_cell_angle_beta 90.00
_cell_angle_gamma 90.00
_symmetry_space_group_name_H-M 'P -4 m 2'
_symmetry_Int_Tables_number 115
_symmetry_space_group_name_Hall 'P -4 -2'
loop_
_atom_site_label
_atom_site_type_symbol
_atom_site_fract_x
_atom_site_fract_y
_atom_site_fract_z
Pr1 Pr 0.0000 0.5000 0.2448
Ga1 Ga 0.0000 0.0000 0.0000
Ga2 Ga 0.0000 0.5000 0.6265
Cu1 Cu 0.0000 0.0000 0.5000
Cu2 Cu 0.0000 0.5000 0.8599
Cu3 Cu 0.5000 0.5000 0.5000
Ir1 Ir 0.5000 0.5000 0.0000
```

Material: Pr2Ga4CuIr3
Method: DFT, PBE-GGA
State: relaxed

DFT formation energy	-58.99	kJ/mol of atoms
magnetic moment	0.0	μB per formula unit
total energy	-58.460	eV/cell
V	19.0	Å³ per atom

```
data_Pr2Ga4CuIr3
_chemical_formula_sum 'Pr2 Ga4 Cu1 Ir3'
_cell_length_a 4.2609
_cell_length_b 4.2609
_cell_length_c 10.4629
_cell_angle_alpha 90.00
_cell_angle_beta 90.00
_cell_angle_gamma 90.00
_symmetry_space_group_name_H-M 'P -4 m 2'
_symmetry_Int_Tables_number 115
_symmetry_space_group_name_Hall 'P -4 -2'
loop_
_atom_site_label
_atom_site_type_symbol
_atom_site_fract_x
_atom_site_fract_y
_atom_site_fract_z
Pr1 Pr 0.0000 0.5000 0.2480
Ga1 Ga 0.0000 0.0000 0.5000
Ga2 Ga 0.0000 0.5000 0.8744
Ga3 Ga 0.5000 0.5000 0.5000
Cu1 Cu 0.5000 0.5000 0.0000
Ir1 Ir 0.0000 0.0000 0.0000
Ir2 Ir 0.0000 0.5000 0.6338
```

Material: Pr2Ga4Cu3Ir
Method: DFT, PBE-GGA
State: relaxed

DFT formation energy	-47.26	kJ/mol of atoms
magnetic moment	0.0	μB per formula unit
total energy	-47.714	eV/cell
V	18.4	Å³ per atom

```
data_Pr2Ga4Cu3Ir
_chemical_formula_sum 'Pr2 Ga4 Cu3 Ir1'
_cell_length_a 4.2181
_cell_length_b 4.2181
_cell_length_c 10.3589
_cell_angle_alpha 90.00
_cell_angle_beta 90.00
_cell_angle_gamma 90.00
_symmetry_space_group_name_H-M 'P -4 m 2'
_symmetry_Int_Tables_number 115
_symmetry_space_group_name_Hall 'P -4 -2'
loop_
_atom_site_label
_atom_site_type_symbol
_atom_site_fract_x
_atom_site_fract_y
_atom_site_fract_z
Pr1 Pr 0.0000 0.5000 0.2492
Ga1 Ga 0.0000 0.0000 0.5000
Ga2 Ga 0.0000 0.5000 0.8690
Ga3 Ga 0.5000 0.5000 0.5000
Cu1 Cu 0.0000 0.0000 0.0000
Cu2 Cu 0.0000 0.5000 0.6311
Ir1 Ir 0.5000 0.5000 0.0000
```

Material: PrGa4CuIr2
Method: DFT, PBE-GGA
State: relaxed

DFT formation energy	-43.52	kJ/mol of atoms
magnetic moment	0.0	μB per formula unit
total energy	-126.940	eV/cell
V	17.5	Å³ per atom

```
data_PrGa4CuIr2
_chemical_formula_sum 'Pr3 Ga12 Cu3 Ir6'
_cell_length_a 4.2954
_cell_length_b 4.2954
_cell_length_c 26.2222
_cell_angle_alpha 90.00
_cell_angle_beta 90.00
_cell_angle_gamma 120.00
_symmetry_space_group_name_H-M 'R -3 m'
_symmetry_Int_Tables_number 166
_symmetry_space_group_name_Hall '-R 3 2"'
loop_
_atom_site_label
_atom_site_type_symbol
_atom_site_fract_x
_atom_site_fract_y
_atom_site_fract_z
Pr1 Pr 0.0000 0.0000 0.0000
Ga1 Ga 0.0000 0.0000 0.1301
Ga2 Ga 0.0000 0.0000 0.4016
Cu1 Cu 0.0000 0.0000 0.5000
Ir1 Ir 0.0000 0.0000 0.2294
```